Record 1
Entry from the Alexandria database: crystalline SrUIn2Cl8 at its relaxed geometry (GGA-PBE).

Properties
E_tot in eV/atom: -4.37
Formation energy without anion corrections in eV per atom: -1.602
Spin magnetization in μB per atom: 0.1667

CIF file:
```
data_SrUIn2Cl8
_cell_length_a 7.0068
_cell_length_b 7.1468
_cell_length_c 8.7688
_cell_angle_alpha 89.73
_cell_angle_beta 89.97
_cell_angle_gamma 86.76
_symmetry_space_group_name_H-M 'P -1'
_symmetry_Int_Tables_number 2
loop_
_symmetry_equiv_pos_as_xyz
'x,y,z'
'-x,-y,-z'
loop_
_atom_site_label
_atom_site_type_symbol
_atom_site_fract_x
_atom_site_fract_y
_atom_site_fract_z
Sr1 Sr 0.0000 0.0000 0.0000
U1 U 0.0000 0.0000 0.5000
In1 In 0.5003 0.4972 0.2432
Cl1 Cl 0.1291 0.2095 0.7267
Cl2 Cl 0.1299 0.2093 0.2713
Cl3 Cl 0.3183 0.8035 0.4977
Cl4 Cl 0.3305 0.7394 0.0003
```

Record 2
Entry from the Alexandria database: crystalline SrZnIn2Cl6 at its relaxed geometry (GGA-PBE).

Properties
E_tot in eV/atom: -3.31
Formation energy without anion corrections in eV per atom: -1.356
Spin magnetization in μB per atom: 0.0000

CIF file:
```
data_SrZnIn2Cl6
_cell_length_a 7.2868
_cell_length_b 7.2911
_cell_length_c 7.3009
_cell_angle_alpha 63.09
_cell_angle_beta 63.01
_cell_angle_gamma 63.05
_symmetry_space_group_name_H-M 'P -1'
_symmetry_Int_Tables_number 2
loop_
_symmetry_equiv_pos_as_xyz
'x,y,z'
'-x,-y,-z'
loop_
_atom_site_label
_atom_site_type_symbol
_atom_site_fract_x
_atom_site_fract_y
_atom_site_fract_z
Sr1 Sr 0.0000 0.0000 0.0000
Zn1 Zn 0.5000 0.5000 0.5000
In1 In 0.2758 0.2769 0.2768
Cl1 Cl 0.1950 0.7129 0.3419
Cl2 Cl 0.2863 0.6569 0.8053
Cl3 Cl 0.3427 0.1948 0.7109
```

Record 3
Entry from the Alexandria database: crystalline TaIn3Cl at its relaxed geometry (GGA-PBE).

Properties
E_tot in eV/atom: -3.34
Formation energy without anion corrections in eV per atom: 1.043
Spin magnetization in μB per atom: 0.2937

CIF file:
```
data_TaIn3Cl
_cell_length_a 5.1850
_cell_length_b 5.1850
_cell_length_c 5.1850
_cell_angle_alpha 90.00
_cell_angle_beta 90.00
_cell_angle_gamma 90.00
_symmetry_space_group_name_H-M 'P m -3 m'
_symmetry_Int_Tables_number 221
_symmetry_space_group_name_Hall '-P 4 2 3'
loop_
_atom_site_label
_atom_site_type_symbol
_atom_site_fract_x
_atom_site_fract_y
_atom_site_fract_z
Ta1 Ta 0.0000 0.0000 0.0000
In1 In 0.0000 0.5000 0.5000
Cl1 Cl 0.5000 0.5000 0.5000
```

Record 4
Entry from the Alexandria database: crystalline TaInCl2 at its relaxed geometry (GGA-PBE).

Properties
E_tot in eV/atom: -4.47
Formation energy without anion corrections in eV per atom: 0.102
Spin magnetization in μB per atom: 0.1189

CIF file:
```
data_TaInCl2
_cell_length_a 3.0504
_cell_length_b 4.6689
_cell_length_c 5.6848
_cell_angle_alpha 90.00
_cell_angle_beta 90.00
_cell_angle_gamma 90.00
_symmetry_space_group_name_H-M 'P m m m'
_symmetry_Int_Tables_number 47
loop_
_symmetry_equiv_pos_as_xyz
'x,y,z'
'-x,-y,-z'
'-x,-y,z'
'x,y,-z'
'x,-y,-z'
'-x,y,z'
'-x,y,-z'
'x,-y,z'
loop_
_atom_site_label
_atom_site_type_symbol
_atom_site_fract_x
_atom_site_fract_y
_atom_site_fract_z
Ta1 Ta 0.0000 0.0000 0.0000
In1 In 0.5000 0.0000 0.5000
Cl1 Cl 0.0000 0.5000 0.5000
Cl2 Cl 0.5000 0.5000 0.0000
```

Record 5
Entry from the Alexandria database: crystalline TaInCl2 at its relaxed geometry (GGA-PBE).

Properties
E_tot in eV/atom: -4.74
Formation energy without anion corrections in eV per atom: -0.173
Spin magnetization in μB per atom: 0.0000

CIF file:
```
data_TaInCl2
_cell_length_a 3.0561
_cell_length_b 3.0561
_cell_length_c 11.3585
_cell_angle_alpha 90.00
_cell_angle_beta 90.00
_cell_angle_gamma 90.00
_symmetry_space_group_name_H-M 'P 4/m m m'
_symmetry_Int_Tables_number 123
_symmetry_space_group_name_Hall '-P 4 2'
loop_
_atom_site_label
_atom_site_type_symbol
_atom_site_fract_x
_atom_site_fract_y
_atom_site_fract_z
Ta1 Ta 0.0000 0.0000 0.0000
In1 In 0.0000 0.0000 0.5000
Cl1 Cl 0.5000 0.5000 0.1345
```

Record 6
Entry from the Alexandria database: crystalline TaInCl4 at its relaxed geometry (GGA-PBE).

Properties
E_tot in eV/atom: -4.53
Formation energy without anion corrections in eV per atom: -0.870
Spin magnetization in μB per atom: 0.1618

CIF file:
```
data_TaInCl4
_cell_length_a 8.5948
_cell_length_b 14.0398
_cell_length_c 3.3953
_cell_angle_alpha 90.00
_cell_angle_beta 113.13
_cell_angle_gamma 90.00
_symmetry_space_group_name_H-M 'C 1 2/m 1'
_symmetry_Int_Tables_number 12
loop_
_symmetry_equiv_pos_as_xyz
'x,y,z'
'-x,-y,-z'
'-x,y,-z'
'x,-y,z'
'x+1/2,y+1/2,z'
'-x+1/2,-y+1/2,-z'
'-x+1/2,y+1/2,-z'
'x+1/2,-y+1/2,z'
loop_
_atom_site_label
_atom_site_type_symbol
_atom_site_fract_x
_atom_site_fract_y
_atom_site_fract_z
Ta1 Ta 0.0000 0.0000 0.0000
In1 In 0.0000 0.5000 0.0000
Cl1 Cl 0.2125 0.1188 0.2105
```

Record 7
Entry from the Alexandria database: crystalline TaInCl at its relaxed geometry (GGA-PBE).

Properties
E_tot in eV/atom: -4.41
Formation energy without anion corrections in eV per atom: 1.074
Spin magnetization in μB per atom: 0.0000

CIF file:
```
data_TaInCl
_cell_length_a 6.3775
_cell_length_b 6.3775
_cell_length_c 6.3775
_cell_angle_alpha 90.00
_cell_angle_beta 90.00
_cell_angle_gamma 90.00
_symmetry_space_group_name_H-M 'F -4 3 m'
_symmetry_Int_Tables_number 216
_symmetry_space_group_name_Hall 'F -4 2 3'
loop_
_atom_site_label
_atom_site_type_symbol
_atom_site_fract_x
_atom_site_fract_y
_atom_site_fract_z
Ta1 Ta 0.0000 0.0000 0.0000
In1 In 0.0000 0.0000 0.5000
Cl1 Cl 0.2500 0.2500 0.2500
```

Record 8
Entry from the Alexandria database: crystalline TaInCl2 at its relaxed geometry (GGA-PBE).

Properties
E_tot in eV/atom: -4.99
Formation energy without anion corrections in eV per atom: -0.422
Spin magnetization in μB per atom: 0.2135

CIF file:
```
data_TaInCl2
_cell_length_a 11.2229
_cell_length_b 3.1105
_cell_length_c 6.7842
_cell_angle_alpha 90.00
_cell_angle_beta 115.59
_cell_angle_gamma 90.00
_symmetry_space_group_name_H-M 'C 1 m 1'
_symmetry_Int_Tables_number 8
loop_
_symmetry_equiv_pos_as_xyz
'x,y,z'
'x,-y,z'
'x+1/2,y+1/2,z'
'x+1/2,-y+1/2,z'
loop_
_atom_site_label
_atom_site_type_symbol
_atom_site_fract_x
_atom_site_fract_y
_atom_site_fract_z
Ta1 Ta 0.0000 0.0000 0.0000
In1 In 0.2690 0.0000 0.0007
Cl1 Cl 0.1138 0.5000 0.3120
Cl2 Cl 0.4499 0.0000 0.6877
```

Record 9
Entry from the Alexandria database: crystalline TaInCl at its relaxed geometry (GGA-PBE).

Properties
E_tot in eV/atom: -5.70
Formation energy without anion corrections in eV per atom: -0.223
Spin magnetization in μB per atom: 0.0000

CIF file:
```
data_TaInCl
_cell_length_a 3.1052
_cell_length_b 3.1052
_cell_length_c 8.4451
_cell_angle_alpha 90.00
_cell_angle_beta 90.00
_cell_angle_gamma 120.00
_symmetry_space_group_name_H-M 'P 3 m 1'
_symmetry_Int_Tables_number 156
loop_
_symmetry_equiv_pos_as_xyz
'x,y,z'
'-y,x-y,z'
'-x+y,-x,z'
'-y,-x,z'
'-x+y,y,z'
'x,x-y,z'
loop_
_atom_site_label
_atom_site_type_symbol
_atom_site_fract_x
_atom_site_fract_y
_atom_site_fract_z
Ta1 Ta 0.0000 0.0000 0.0000
In1 In 0.6667 0.3333 0.7016
Cl1 Cl 0.3333 0.6667 0.2089
```

Record 10
Entry from the Alexandria database: crystalline TaInCl2 at its relaxed geometry (GGA-PBE).

Properties
E_tot in eV/atom: -4.10
Formation energy without anion corrections in eV per atom: 0.472
Spin magnetization in μB per atom: 0.1913

CIF file:
```
data_TaInCl2
_cell_length_a 4.3274
_cell_length_b 4.3274
_cell_length_c 8.7814
_cell_angle_alpha 90.00
_cell_angle_beta 90.00
_cell_angle_gamma 90.00
_symmetry_space_group_name_H-M 'I 4/m m m'
_symmetry_Int_Tables_number 139
_symmetry_space_group_name_Hall '-I 4 2'
loop_
_atom_site_label
_atom_site_type_symbol
_atom_site_fract_x
_atom_site_fract_y
_atom_site_fract_z
Ta1 Ta 0.0000 0.0000 0.0000
In1 In 0.0000 0.0000 0.5000
Cl1 Cl 0.0000 0.5000 0.2500
```

> The highest formation energy without anion corrections belongs to which entry?

number 7